A relaxed Pu4Bi8Au3 crystal. Source: Alexandria, functional PBE.

```
data_Pu4Bi8Au3
_cell_length_a 4.651
_cell_length_b 4.651
_cell_length_c 19.320
_cell_angle_alpha 90.00
_cell_angle_beta 90.00
_cell_angle_gamma 90.00
_space_group_name_H-M_alt 'P -4 m 2'
_space_group_IT_number 115
loop_
_space_group_symop_operation_xyz
'x,y,z'
'y,-x,-z'
'-x,-y,z'
'-y,x,-z'
'-x,y,z'
'-y,-x,-z'
'x,-y,z'
'y,x,-z'
loop_
_atom_site_label
_atom_site_type_symbol
_atom_site_fract_x
_atom_site_fract_y
_atom_site_fract_z
Pu1 Pu 0.000 0.500 0.113
Pu2 Pu 0.000 0.500 0.618
Bi1 Bi 0.000 0.000 0.246
Bi2 Bi 0.000 0.500 0.398
Bi3 Bi 0.000 0.500 0.911
Bi4 Bi 0.500 0.500 0.247
Au1 Au 0.000 0.000 0.000
Au2 Au 0.000 0.000 0.500
Au3 Au 0.500 0.500 0.500
```

The value obtained for the final energy is -6.858 eV per atom.